A plane-wave DFT calculation with GGA-PBE was carried out for a geometry-optimized Nb2AsO structure.

Calculated values
Energy relative to the lowest polymorph listed for this composition   0.0921 eV per atom

```
Nb2AsO
1.0
0.0000 3.0717 3.0717
3.0717 0.0000 3.0717
3.0717 3.0717 0.0000
Nb As O
2 1 1
direct
0.2500 0.2500 0.2500 Nb
0.7500 0.7500 0.7500 Nb
0.0000 0.0000 0.0000 As
0.5000 0.5000 0.5000 O
```

A plane-wave DFT calculation with GGA-PBE was carried out for a geometry-optimized NbAsO3 structure.

```
NbAsO3
1.0
3.9009 0.0000 0.0000
0.0000 3.9009 0.0000
0.0000 0.0000 3.9009
Nb As O
1 1 3
direct
0.0000 0.0000 0.0000 Nb
0.5000 0.5000 0.5000 As
0.0000 0.5000 0.5000 O
0.5000 0.0000 0.5000 O
0.5000 0.5000 0.0000 O
```

A plane-wave DFT calculation with GGA-PBE was carried out for a geometry-optimized Nb9AsO25 structure.

```
Nb9AsO25
1.0
15.9981 0.0000 0.0000
0.0000 15.9981 0.0000
0.0000 0.0000 3.8816
Nb As O
18 2 50
direct
0.0321 0.3570 0.2480 Nb
0.0761 0.8654 0.7404 Nb
0.1346 0.5761 0.2596 Nb
0.1430 0.0321 0.2480 Nb
0.2500 0.2500 0.2893 Nb
0.3570 0.4679 0.2480 Nb
0.3654 0.9239 0.2596 Nb
0.4239 0.6346 0.7404 Nb
0.4679 0.1430 0.2480 Nb
0.5321 0.8570 0.7520 Nb
0.5761 0.3654 0.2596 Nb
0.6346 0.0761 0.7404 Nb
0.6430 0.5321 0.7520 Nb
0.7500 0.7500 0.7107 Nb
0.8570 0.9679 0.7520 Nb
0.8654 0.4239 0.7404 Nb
0.9239 0.1346 0.2596 Nb
0.9679 0.6430 0.7520 Nb
0.2500 0.7500 0.0000 As
0.7500 0.2500 0.0000 As
0.0009 0.6378 0.2509 O
0.0302 0.7619 0.7467 O
0.0329 0.0751 0.2433 O
0.0751 0.4671 0.2433 O
0.0920 0.8970 0.2518 O
0.1030 0.5920 0.7482 O
0.1339 0.3011 0.2528 O
0.1378 0.9991 0.7491 O
0.1762 0.6977 0.2377 O
0.1977 0.8238 0.7623 O
0.1989 0.1339 0.2528 O
0.2381 0.5302 0.2533 O
0.2500 0.2500 0.7606 O
0.2619 0.9698 0.2533 O
0.3011 0.3661 0.2528 O
0.3023 0.6762 0.7623 O
0.3238 0.8023 0.2377 O
0.3622 0.5009 0.7491 O
0.3661 0.1989 0.2528 O
0.3970 0.9080 0.7482 O
0.4081 0.6030 0.2518 O
0.4249 0.0329 0.2433 O
0.4671 0.4249 0.2433 O
0.4698 0.7381 0.7467 O
0.4991 0.8622 0.2509 O
0.5009 0.1378 0.7491 O
0.5302 0.2619 0.2533 O
0.5329 0.5751 0.7567 O
0.5751 0.9671 0.7567 O
0.5920 0.3970 0.7482 O
0.6030 0.0920 0.2518 O
0.6339 0.8011 0.7472 O
0.6378 0.4991 0.2509 O
0.6762 0.1977 0.7623 O
0.6977 0.3238 0.2377 O
0.6989 0.6339 0.7472 O
0.7381 0.0302 0.7467 O
0.7500 0.7500 0.2394 O
0.7619 0.4698 0.7467 O
0.8011 0.8661 0.7472 O
0.8023 0.1762 0.2377 O
0.8238 0.3023 0.7623 O
0.8622 0.0009 0.2509 O
0.8661 0.6989 0.7472 O
0.8970 0.4081 0.2518 O
0.9080 0.1030 0.7482 O
0.9249 0.5329 0.7567 O
0.9671 0.9249 0.7567 O
0.9698 0.2381 0.2533 O
0.9991 0.3622 0.7491 O
```

A plane-wave DFT calculation with GGA-PBE was carried out for a geometry-optimized Nb2AsO2 structure.

Calculated values
Energy relative to the lowest polymorph listed for this composition   0.2388 eV per atom

```
Nb2AsO2
1.0
6.6910 0.0000 0.0000
0.0000 6.6910 0.0000
0.0000 0.0000 2.7426
Nb As O
4 2 4
direct
0.1709 0.3291 0.0000 Nb
0.3291 0.8291 0.0000 Nb
0.6709 0.1709 0.0000 Nb
0.8291 0.6709 0.0000 Nb
0.0000 0.0000 0.5000 As
0.5000 0.5000 0.5000 As
0.1213 0.6213 0.5000 O
0.3787 0.1213 0.5000 O
0.6213 0.8787 0.5000 O
0.8787 0.3787 0.5000 O
```

A plane-wave DFT calculation with GGA-PBE was carried out for a geometry-optimized Nb2AsO8 structure.

```
Nb2AsO8
1.0
4.6024 -3.1876 0.0000
4.6024 3.1876 0.0000
-0.1085 0.0000 4.3530
Nb As O
2 1 8
direct
0.1354 0.1354 0.2944 Nb
0.8646 0.8646 0.7056 Nb
0.5000 0.5000 0.0000 As
0.1025 0.1025 0.7262 O
0.1983 0.6052 0.7816 O
0.3407 0.3407 0.2509 O
0.3948 0.8017 0.2184 O
0.6052 0.1983 0.7816 O
0.6593 0.6593 0.7491 O
0.8017 0.3948 0.2184 O
0.8975 0.8975 0.2738 O
```

A plane-wave DFT calculation with GGA-PBE was carried out for a geometry-optimized NbAsO3 structure.

```
NbAsO3
1.0
4.0085 0.0000 0.0000
0.0000 4.0085 0.0000
0.0000 0.0000 4.0085
Nb As O
1 1 3
direct
0.0000 0.0000 0.0000 Nb
0.5000 0.5000 0.5000 As
0.0000 0.0000 0.5000 O
0.0000 0.5000 0.0000 O
0.5000 0.0000 0.0000 O
```

The records above give, respectively, raw formation energy values of -0.549 -0.415 -2.416 -0.937 -1.731 -1.273 eV/atom.
The records above give, respectively, calculated total energy values of -31.9 -31.7 -607.6 -78.8 -83.5 -36.0 eV for the cell shown.
The records above give, respectively, density values of 7.93 6.04 4.38 7.92 5.05 5.56 g cm⁻³.